Record 1
ScOsNO (PBE, relaxed); E = -8.68 eV/atom
1.0
3.190 0.000 0.000
0.000 5.950 0.000
0.000 0.000 5.286
Sc Os N O
2 2 2 2
direct
0.000 0.188 0.000 Sc
0.000 0.812 0.500 Sc
0.500 0.400 0.416 Os
0.500 0.600 0.916 Os
0.500 0.302 0.779 N
0.500 0.698 0.279 N
0.000 0.145 0.384 O
0.000 0.855 0.884 O

---

Record 2
HfHgSb2 (PBE, relaxed); E = -4.40 eV/atom
1.0
0.000 3.653 3.653
3.653 0.000 3.653
3.653 3.653 0.000
Hf Hg Sb
1 1 2
direct
0.000 0.000 0.000 Hf
0.250 0.250 0.250 Hg
0.500 0.500 0.500 Sb
0.750 0.750 0.750 Sb

---

Record 3
ZnCuNi2 (PBE, relaxed); formation enthalpy at 0 K = -0.077 eV per atom
1.0
0.000 2.860 2.860
2.860 0.000 2.860
2.860 2.860 0.000
Zn Cu Ni
1 1 2
direct
0.000 0.000 0.000 Zn
0.250 0.250 0.250 Cu
0.500 0.500 0.500 Ni
0.750 0.750 0.750 Ni

---

Record 4
TbHoTlAu2 (PBE, relaxed); E = -4.29 eV/atom
1.0
3.569 0.000 0.000
0.000 2.271 7.407
0.000 -2.271 7.407
Tb Ho Tl Au
1 1 1 2
direct
0.000 0.000 0.000 Tb
0.000 0.261 0.261 Ho
0.500 0.630 0.630 Tl
0.500 0.434 0.434 Au
0.500 0.825 0.825 Au

---

Record 5
AuI2 (PBE, relaxed); E = -2.04 eV/atom
1.0
2.115 -3.602 0.000
2.115 3.602 0.000
0.000 0.000 13.519
Au I
2 4
direct
0.209 0.791 0.500 Au
0.791 0.209 0.000 Au
0.080 0.920 0.125 I
0.494 0.506 0.372 I
0.506 0.494 0.872 I
0.920 0.080 0.625 I

---

Record 6
TmMoW (PBE, relaxed); formation enthalpy at 0 K = 0.806 eV per atom
1.0
0.000 3.183 3.183
3.183 0.000 3.183
3.183 3.183 0.000
Tm Mo W
1 1 1
direct
0.000 0.000 0.000 Tm
0.500 0.500 0.500 Mo
0.750 0.750 0.750 W

---

Record 7
TbGdCu2As4 (PBE, relaxed); E = -5.25 eV/atom
1.0
3.928 0.000 0.000
0.000 3.928 0.000
0.000 0.000 9.914
Tb Gd Cu As
1 1 2 4
direct
0.000 0.000 0.000 Tb
0.500 0.500 0.475 Gd
0.000 0.500 0.738 Cu
0.500 0.000 0.738 Cu
0.000 0.000 0.579 As
0.000 0.500 0.237 As
0.500 0.000 0.237 As
0.500 0.500 0.896 As

---

Record 8
ReBiAsO (PBE, relaxed); E = -6.25 eV/atom
1.0
4.215 0.000 0.000
0.000 4.215 0.000
0.000 0.000 10.242
Re Bi As O
2 2 2 2
direct
0.250 0.250 0.041 Re
0.750 0.750 0.959 Re
0.250 0.750 0.500 Bi
0.750 0.250 0.500 Bi
0.250 0.250 0.261 As
0.750 0.750 0.739 As
0.250 0.750 0.000 O
0.750 0.250 0.000 O

---

Record 9
ScZnCoB (PBE, relaxed); E = -5.17 eV/atom
1.0
0.000 2.927 2.927
2.927 0.000 2.927
2.927 2.927 0.000
Sc Zn Co B
1 1 1 1
direct
0.000 0.000 0.000 Sc
0.500 0.500 0.500 Zn
0.750 0.750 0.750 Co
0.250 0.250 0.250 B

---

Record 10
DyZr (PBE, relaxed); formation enthalpy at 0 K = 0.076 eV per atom
1.0
5.363 0.000 0.000
0.000 3.365 0.000
0.000 0.000 5.972
Dy Zr
2 2
direct
0.250 0.000 0.166 Dy
0.750 0.000 0.834 Dy
0.250 0.500 0.640 Zr
0.750 0.500 0.360 Zr

---

Record 11
HoPSe2S2 (PBE, relaxed); E = -5.14 eV/atom
1.0
6.559 0.000 0.000
1.001 6.664 0.000
0.361 0.105 7.876
Ho P Se S
2 2 4 4
direct
0.207 0.201 0.056 Ho
0.793 0.799 0.944 Ho
0.308 0.762 0.815 P
0.692 0.238 0.185 P
0.125 0.510 0.783 Se
0.418 0.259 0.353 Se
0.582 0.741 0.647 Se
0.875 0.490 0.217 Se
0.085 0.009 0.771 S
0.388 0.782 0.066 S
0.612 0.218 0.934 S
0.915 0.991 0.229 S

---

Record 12
PdF2 (PBE, relaxed); E = -3.97 eV/atom
1.0
4.441 -1.380 0.000
4.441 1.380 0.000
-2.263 0.000 5.932
Pd F
2 4
direct
0.000 0.000 0.000 Pd
0.000 0.000 0.500 Pd
0.138 0.166 0.326 F
0.166 0.138 0.826 F
0.834 0.862 0.174 F
0.862 0.834 0.674 F

---

Record 13
PuInGa (PBE, relaxed); E = -6.76 eV/atom
1.0
0.000 3.235 3.235
3.235 0.000 3.235
3.235 3.235 0.000
Pu In Ga
1 1 1
direct
0.000 0.000 0.000 Pu
0.500 0.500 0.500 In
0.750 0.750 0.750 Ga

---

Record 14
CsNdAsSe3 (PBE, relaxed); E = -4.50 eV/atom
1.0
2.244 -7.637 0.000
2.244 7.637 0.000
0.000 0.000 12.029
Cs Nd As Se
2 2 2 6
direct
0.229 0.771 0.750 Cs
0.771 0.229 0.250 Cs
0.500 0.500 0.000 Nd
0.500 0.500 0.500 Nd
0.074 0.926 0.250 As
0.926 0.074 0.750 As
0.125 0.875 0.033 Se
0.125 0.875 0.467 Se
0.490 0.510 0.250 Se
0.510 0.490 0.750 Se
0.875 0.125 0.533 Se
0.875 0.125 0.967 Se

---

Record 15
LaBeTc (PBE, relaxed); E = -4.98 eV/atom
1.0
0.000 3.152 3.152
3.152 0.000 3.152
3.152 3.152 0.000
La Be Tc
1 1 1
direct
0.000 0.000 0.000 La
0.750 0.750 0.750 Be
0.250 0.250 0.250 Tc

---

Record 16
LiTmGe (PBE, relaxed); E = -4.34 eV/atom
1.0
4.359 0.000 0.000
-2.180 3.775 0.000
0.000 0.000 7.007
Li Tm Ge
2 2 2
direct
0.333 0.667 0.250 Li
0.667 0.333 0.750 Li
0.000 0.000 0.000 Tm
0.000 0.000 0.500 Tm
0.333 0.667 0.750 Ge
0.667 0.333 0.250 Ge

---

Record 17
Sc3In3PdAu (PBE, relaxed); E = -5.11 eV/atom
1.0
7.580 0.000 0.000
-3.790 6.564 0.000
0.000 0.000 3.390
Sc In Pd Au
3 3 1 1
direct
0.009 0.590 0.000 Sc
0.410 0.418 0.000 Sc
0.582 0.991 0.000 Sc
0.003 0.237 0.500 In
0.234 0.997 0.500 In
0.763 0.766 0.500 In
0.333 0.667 0.500 Pd
0.667 0.333 0.500 Au

---

Record 18
PuCo2 (PBE, relaxed); formation enthalpy at 0 K = 0.889 eV per atom
1.0
4.757 0.000 0.000
0.000 4.757 0.000
0.000 0.000 4.424
Pu Co
2 4
direct
0.000 0.000 0.000 Pu
0.500 0.500 0.500 Pu
0.174 0.174 0.500 Co
0.326 0.674 0.000 Co
0.674 0.326 0.000 Co
0.826 0.826 0.500 Co

---

Record 19
KPrInTe3 (PBE, relaxed); E = -3.93 eV/atom
1.0
2.547 -7.658 0.000
2.547 7.658 0.000
0.000 0.000 12.123
K Pr In Te
2 2 2 6
direct
0.244 0.756 0.750 K
0.756 0.244 0.250 K
0.000 0.000 0.000 Pr
0.000 0.000 0.500 Pr
0.488 0.512 0.250 In
0.512 0.488 0.750 In
0.079 0.921 0.250 Te
0.370 0.630 0.060 Te
0.370 0.630 0.440 Te
0.630 0.370 0.560 Te
0.630 0.370 0.940 Te
0.921 0.079 0.750 Te

---

Record 20
Y2Fe3B4Ir2 (PBE, relaxed); E = -8.01 eV/atom
1.0
0.000 4.595 5.562
2.679 0.000 5.562
2.679 4.595 0.000
Y Fe B Ir
2 3 4 2
direct
0.146 0.146 0.854 Y
0.854 0.854 0.146 Y
0.250 0.250 0.250 Fe
0.500 0.500 0.500 Fe
0.750 0.750 0.750 Fe
0.205 0.516 0.484 B
0.484 0.795 0.205 B
0.516 0.205 0.795 B
0.795 0.484 0.516 B
0.000 0.000 0.500 Ir
0.500 0.500 0.000 Ir

---

Record 21
Li4ZnSnPd2 (PBE, relaxed); E = -3.41 eV/atom
1.0
4.407 0.000 0.000
0.000 4.407 0.000
0.000 0.000 6.171
Li Zn Sn Pd
4 1 1 2
direct
0.000 0.000 0.000 Li
0.000 0.500 0.229 Li
0.500 0.000 0.771 Li
0.500 0.500 0.500 Li
0.500 0.500 0.000 Zn
0.000 0.000 0.500 Sn
0.000 0.500 0.758 Pd
0.500 0.000 0.242 Pd

---

Record 22
TaAlOs (PBE, relaxed); E = -8.56 eV/atom
1.0
0.000 3.049 3.049
3.049 0.000 3.049
3.049 3.049 0.000
Ta Al Os
1 1 1
direct
0.000 0.000 0.000 Ta
0.750 0.750 0.750 Al
0.250 0.250 0.250 Os

---

Record 23
AcTaZn (PBE, relaxed); formation enthalpy at 0 K = 1.508 eV per atom
1.0
0.000 3.580 3.580
3.580 0.000 3.580
3.580 3.580 0.000
Ac Ta Zn
1 1 1
direct
0.000 0.000 0.000 Ac
0.750 0.750 0.750 Ta
0.250 0.250 0.250 Zn

---

Record 24
ZrCuReSb (PBE, relaxed); E = -7.10 eV/atom
1.0
0.000 3.265 3.265
3.265 0.000 3.265
3.265 3.265 0.000
Zr Cu Re Sb
1 1 1 1
direct
0.000 0.000 0.000 Zr
0.750 0.750 0.750 Cu
0.250 0.250 0.250 Re
0.500 0.500 0.500 Sb

---

Record 25
AcPuAg (PBE, relaxed); formation enthalpy at 0 K = 0.212 eV per atom
1.0
0.000 3.749 3.749
3.749 0.000 3.749
3.749 3.749 0.000
Ac Pu Ag
1 1 1
direct
0.000 0.000 0.000 Ac
0.500 0.500 0.500 Pu
0.250 0.250 0.250 Ag

---

Record 26
GdTm2Mg3Ir3 (PBE, relaxed); E = -5.67 eV/atom
1.0
4.038 0.000 0.000
0.000 6.271 3.610
0.000 -6.271 3.610
Gd Tm Mg Ir
1 2 3 3
direct
0.000 0.000 0.000 Gd
0.000 0.182 0.589 Tm
0.000 0.589 0.182 Tm
0.500 0.344 0.344 Mg
0.500 0.588 0.835 Mg
0.500 0.835 0.588 Mg
0.000 0.586 0.586 Ir
0.500 0.259 0.921 Ir
0.500 0.921 0.259 Ir

---

| no. | mass density (g/cm³) |
| --- | --- |
| 1 | 8.78 |
| 2 | 10.60 |
| 3 | 8.74 |
| 4 | 12.75 |
| 5 | 7.27 |
| 6 | 11.55 |
| 7 | 8.06 |
| 8 | 8.87 |
| 9 | 5.96 |
| 10 | 7.82 |
| 11 | 4.03 |
| 12 | 6.59 |
| 13 | 10.51 |
| 14 | 4.74 |
| 15 | 6.52 |
| 16 | 7.16 |
| 17 | 7.70 |
| 18 | 12.00 |
| 19 | 4.76 |
| 20 | 9.37 |
| 21 | 5.88 |
| 22 | 11.67 |
| 23 | 8.56 |
| 24 | 11.04 |
| 25 | 9.12 |
| 26 | 10.39 |